An optimized crystal structure of Ho5Sn3, computed with PBEsol.

Cell lengths 8.7948, 8.7948, 6.4082 Å; angles 90.00, 90.00, 120.00 degrees
Last column: nearest neighbours and their distance in Å.
Space group P6_3/mcm (No. 193)
Asymmetric unit:
Ho  0.0000  0.2377  0.2500  3 Sn 3.03-3.22
Ho  0.3333  0.6667  0.0000  6 Sn 3.14, 2 Ho 3.20
Sn  0.0000  0.3956  0.7500  7 Ho 3.03-3.22

Computed properties:
Its formation energy is -759 meV/atom. The value obtained for the volume is 214.6 Å³/f.u.

***

An optimized crystal structure of Ho3Sn7, computed with PBEsol.

Cell lengths 4.3438, 25.8856, 4.3690 Å; angles 90.00, 90.00, 90.00 degrees
Last column: nearest neighbours and their distance in Å.
Space group Cmmm (No. 65)
Asymmetric unit:
Ho  0.0000  0.0000  0.0000  12 Sn 3.08-3.33
Ho  0.0000  0.3107  0.5000  10 Sn 3.13-3.38
Sn  0.0000  0.0969  0.5000  6 Sn 3.08-3.32, 4 Ho 3.23-3.33
Sn  0.0000  0.2110  0.0000  2 Sn 2.97, 4 Ho 3.13
Sn  0.0000  0.4028  0.0000  6 Sn 3.08-3.33, 4 Ho 3.23-3.32
Sn  0.0000  0.5000  0.5000  4 Ho 3.08, 8 Sn 3.32-3.33

Computed properties:
Its formation energy is -590 meV/atom. The value obtained for the volume is 245.6 Å³/f.u.

***

What E values result from the calculations? In sequence: -5.450, -5.057 eV per atom.